Entry 1:
{"formula": "BaYCu10", "functional": "PBE-GGA", "state": "optimized geometry", "cell": [[4.033, 0.000, 0.000], [0.000, 5.268, 0.000], [0.000, 0.000, 9.124]], "species": ["Cu", "Cu", "Cu", "Ba", "Cu", "Y", "Cu", "Cu", "Cu", "Cu", "Cu", "Cu"], "frac_coords": [[0.000, 0.000, 0.681], [0.500, 0.239, 0.768], [0.500, 0.000, 0.500], [0.000, 0.500, 0.500], [0.500, 0.761, 0.768], [0.000, 0.000, 0.000], [0.500, 0.500, 0.000], [0.500, 0.239, 0.232], [0.000, 0.500, 0.844], [0.000, 0.000, 0.319], [0.500, 0.761, 0.232], [0.000, 0.500, 0.156]], "total_energy_ev_per_atom": -4.194, "dos_at_fermi_per_ev_atom": 0.51, "sg": "Pmmm, No. 47"}


Entry 2:
{"formula": "IrPtSN2", "functional": "PBE-GGA", "state": "optimized geometry", "cell": [[-2.814, 1.298, -2.004], [-1.146, -3.451, -0.627], [-3.196, 0.221, 4.630]], "species": ["Pt", "N", "N", "Ir", "S"], "frac_coords": [[0.500, 0.500, 0.500], [0.000, 0.500, 0.000], [0.500, 0.000, 0.000], [0.000, 0.000, 0.000], [0.000, 0.000, 0.500]], "total_energy_ev_per_atom": -6.101, "dos_at_fermi_per_ev_atom": 0.68, "sg": "P4/mmm, No. 123", "e_form_raw_ev_per_atom": 1.03}